## Y3Mo5O12 (PBE+U)

Data for a relaxed structure of Y3Mo5O12.

**Spin magnetization**: 60.0 Bohr magnetons per cell
**DFT total energy**: -7.83 eV/atom

Unit cell a=11.4203 b=11.4203 c=11.4203 alpha=109.47 beta=109.47 gamma=109.47
With the nearest neighbours (Å) after each atom.
Positions (direct):
O (0.0657, 0.8966, 0.3577)  2 Mo 2.05-2.17
O (0.6034, 0.9611, 0.6691)  2 Mo 2.05-2.17
O (0.1034, 0.9343, 0.1423)  2 Mo 2.05-2.17
O (0.7920, 0.4611, 0.3577)  2 Mo 2.05-2.17
O (0.1691, 0.1034, 0.9611)  2 Mo 2.05-2.17
O (0.5657, 0.7080, 0.6691)  2 Mo 2.05-2.17
Y (0.2500, 0.1250, 0.3750)  4 O 2.31
O (0.6423, 0.6034, 0.9343)  2 Mo 2.05-2.17
O (0.7920, 0.3309, 0.9343)  2 Mo 2.05-2.17
O (0.5389, 0.2080, 0.1423)  2 Mo 2.05-2.17
Mo (0.5000, 0.5000, 0.0000)  6 O 2.17
Mo (0.3750, 0.1250, 0.7500)  4 O 2.05
Y (0.6250, 0.2500, 0.3750)  4 O 2.31
O (0.3966, 0.3577, 0.5657)  2 Mo 2.05-2.17
O (0.8309, 0.9343, 0.2920)  2 Mo 2.05-2.17
O (0.9611, 0.6034, 0.1691)  2 Mo 2.05-2.17
O (0.1691, 0.0657, 0.7080)  2 Mo 2.05-2.17
Mo (0.0000, 0.5000, 0.5000)  6 O 2.17
Y (0.2500, 0.6250, 0.8750)  4 O 2.31
O (0.3309, 0.7920, 0.4343)  2 Mo 2.05-2.17
Mo (0.7500, 0.1250, 0.8750)  4 O 2.05
Y (0.8750, 0.1250, 0.2500)  4 O 2.31
Mo (0.2500, 0.8750, 0.1250)  4 O 2.05
O (0.6691, 0.2080, 0.5657)  2 Mo 2.05-2.17
Mo (0.5000, 0.0000, 0.0000)  6 O 2.17
O (0.2080, 0.5389, 0.6423)  2 Mo 2.05-2.17
Mo (0.2500, 0.3750, 0.6250)  4 O 2.05
Mo (0.1250, 0.3750, 0.2500)  4 O 2.05
O (0.4611, 0.7920, 0.8577)  2 Mo 2.05-2.17
Mo (0.6250, 0.8750, 0.2500)  4 O 2.05
O (0.1423, 0.7080, 0.5389)  2 Mo 2.05-2.17
Y (0.8750, 0.7500, 0.1250)  4 O 2.31
Mo (0.7500, 0.6250, 0.3750)  4 O 2.05
Mo (0.0000, 0.0000, 0.5000)  6 O 2.17
O (0.9343, 0.8309, 0.7920)  2 Mo 2.05-2.17
O (0.4343, 0.2920, 0.3309)  2 Mo 2.05-2.17
O (0.0389, 0.3966, 0.8309)  2 Mo 2.05-2.17
O (0.2920, 0.4343, 0.8309)  2 Mo 2.05-2.17
O (0.8577, 0.5657, 0.8966)  2 Mo 2.05-2.17
O (0.1423, 0.4343, 0.1034)  2 Mo 2.05-2.17
Mo (0.5000, 0.5000, 0.5000)  6 O 2.17
O (0.8577, 0.2920, 0.4611)  2 Mo 2.05-2.17
Mo (0.3750, 0.2500, 0.1250)  4 O 2.05
O (0.7080, 0.1423, 0.0389)  2 Mo 2.05-2.17
O (0.2080, 0.6691, 0.0657)  2 Mo 2.05-2.17
O (0.0657, 0.1691, 0.2080)  2 Mo 2.05-2.17
O (0.8966, 0.8309, 0.5389)  2 Mo 2.05-2.17
Mo (0.0000, 0.0000, 0.0000)  6 O 2.17
Y (0.7500, 0.3750, 0.1250)  4 O 2.31
O (0.0389, 0.6423, 0.7080)  2 Mo 2.05-2.17
Mo (0.0000, 0.5000, 0.0000)  6 O 2.17
O (0.6423, 0.0389, 0.2080)  2 Mo 2.05-2.17
O (0.7080, 0.5657, 0.1691)  2 Mo 2.05-2.17
O (0.5389, 0.3309, 0.8966)  2 Mo 2.05-2.17
O (0.8309, 0.8966, 0.0389)  2 Mo 2.05-2.17
Y (0.1250, 0.8750, 0.7500)  4 O 2.31
O (0.4611, 0.6691, 0.1034)  2 Mo 2.05-2.17
Y (0.7500, 0.8750, 0.6250)  4 O 2.31
O (0.8966, 0.0657, 0.8577)  2 Mo 2.05-2.17
O (0.4343, 0.1423, 0.6034)  2 Mo 2.05-2.17
Mo (0.1250, 0.7500, 0.3750)  4 O 2.05
Y (0.3750, 0.6250, 0.2500)  4 O 2.31
Mo (0.6250, 0.7500, 0.8750)  4 O 2.05
O (0.9611, 0.3577, 0.2920)  2 Mo 2.05-2.17
O (0.3966, 0.0389, 0.3309)  2 Mo 2.05-2.17
O (0.6034, 0.6423, 0.4343)  2 Mo 2.05-2.17
O (0.3577, 0.9611, 0.7920)  2 Mo 2.05-2.17
O (0.2920, 0.8577, 0.9611)  2 Mo 2.05-2.17
O (0.9343, 0.1034, 0.6423)  2 Mo 2.05-2.17
Mo (0.5000, 0.0000, 0.5000)  6 O 2.17
Y (0.1250, 0.2500, 0.8750)  4 O 2.31
O (0.3577, 0.3966, 0.0657)  2 Mo 2.05-2.17
O (0.5657, 0.8577, 0.3966)  2 Mo 2.05-2.17
O (0.3309, 0.5389, 0.3966)  2 Mo 2.05-2.17
Y (0.6250, 0.3750, 0.7500)  4 O 2.31
Y (0.3750, 0.7500, 0.6250)  4 O 2.31
Mo (0.8750, 0.2500, 0.6250)  4 O 2.05
Mo (0.8750, 0.6250, 0.7500)  4 O 2.05
O (0.1034, 0.1691, 0.4611)  2 Mo 2.05-2.17
O (0.6691, 0.4611, 0.6034)  2 Mo 2.05-2.17